1.
Here is an optimized crystal structure of TbDy12Th2 from Alexandria via LeMat-Bulk. Energies are from PBE.

```
TbDy12Th2
1.0
-4.526 -4.387 -1.904
5.690 -0.232 -3.305
7.918 -12.676 20.151
Tb Dy Th
2 24 4
Direct
0.500 0.000 0.000
0.000 0.500 0.000
0.603 0.598 0.799
0.098 0.103 0.799
0.946 0.946 0.927
0.399 0.899 0.864
0.985 0.009 0.330
0.101 0.601 0.136
0.654 0.154 0.565
0.509 0.485 0.330
0.446 0.446 0.927
0.554 0.554 0.073
0.155 0.175 0.555
0.846 0.346 0.435
0.991 0.015 0.670
0.345 0.325 0.445
0.054 0.054 0.073
0.825 0.845 0.445
0.675 0.655 0.555
0.897 0.902 0.201
0.191 0.691 0.590
0.515 0.491 0.670
0.901 0.401 0.865
0.402 0.397 0.201
0.309 0.809 0.410
0.599 0.099 0.135
0.441 0.941 0.269
0.960 0.460 0.268
0.059 0.559 0.731
0.540 0.040 0.732
```

Computed properties:
DOS at the Fermi energy, states/eV per atom: 1.462
Mass density, kg/m³: 8878
Energy of formation, meV per atom: 120
Uncorrected energy, eV per formula unit: -72.901
Magnetic moment, μB/atom: 0.000


2.
Here is an optimized crystal structure of Tb4Dy2Th from Alexandria via LeMat-Bulk. Energies are from PBE.

```
Tb4Dy2Th
1.0
-1.222 -3.309 -0.347
1.142 -2.549 2.182
-15.600 2.407 13.857
Tb Dy Th
4 2 1
Direct
0.711 0.711 0.867
0.289 0.289 0.133
0.143 0.143 0.571
0.857 0.857 0.429
0.235 0.235 0.295
0.765 0.765 0.705
0.000 0.000 0.000
```

Computed properties:
DOS at the Fermi energy, states/eV per atom: 1.475
Mass density, kg/m³: 8709
Energy of formation, meV per atom: 85
Excess energy over the best structure of this formula in the dataset, eV/atom: 0.062
Uncorrected energy, eV per formula unit: -34.547
Magnetic moment, μB/atom: 0.000


3.
Here is an optimized crystal structure of TbDy2Th2 from Alexandria via LeMat-Bulk. Energies are from PBE.

```
TbDy2Th2
1.0
-0.826 -1.141 -3.220
-3.853 -3.677 2.291
-3.292 7.979 -0.065
Tb Dy Th
1 2 2
Direct
0.000 0.000 0.000
0.601 0.601 0.203
0.399 0.399 0.797
0.287 0.787 0.574
0.713 0.213 0.426
```

Computed properties:
DOS at the Fermi energy, states/eV per atom: 1.419
Mass density, kg/m³: 9732
Energy of formation, meV per atom: 64
Excess energy over the best structure of this formula in the dataset, eV/atom: 0.000
Uncorrected energy, eV per formula unit: -28.354
Magnetic moment, μB/atom: 0.000


4.
Here is an optimized crystal structure of TbDy10Th4 from Alexandria via LeMat-Bulk. Energies are from PBE.

```
TbDy10Th4
1.0
-5.402 4.974 7.811
-8.487 -0.513 1.815
-1.485 -2.782 8.102
Tb Dy Th
1 10 4
Direct
0.000 0.000 0.000
0.250 0.500 0.500
0.543 0.328 0.903
0.129 0.097 0.328
0.554 0.903 0.672
0.774 0.672 0.097
0.457 0.672 0.097
0.750 0.500 0.500
0.226 0.328 0.903
0.446 0.097 0.328
0.871 0.903 0.672
0.338 0.726 0.597
0.935 0.403 0.726
0.065 0.597 0.274
0.662 0.274 0.403
```

Computed properties:
DOS at the Fermi energy, states/eV per atom: 1.610
Mass density, kg/m³: 8966
Energy of formation, meV per atom: 391
Uncorrected energy, eV per formula unit: -74.464
Magnetic moment, μB/atom: 0.000


5.
Here is an optimized crystal structure of Tb4Dy2Th from Alexandria via LeMat-Bulk. Energies are from PBE.

```
Tb4Dy2Th
1.0
-1.682 1.731 2.661
-1.585 -2.792 -1.611
9.979 -11.174 13.572
Tb Dy Th
4 2 1
Direct
0.907 0.813 0.954
0.427 0.855 0.522
0.000 0.001 0.238
0.524 0.049 0.811
0.620 0.240 0.096
0.714 0.427 0.380
0.809 0.618 0.667
```

Computed properties:
DOS at the Fermi energy, states/eV per atom: 1.703
Mass density, kg/m³: 8815
Energy of formation, meV per atom: 24
Excess energy over the best structure of this formula in the dataset, eV/atom: 0.000
Uncorrected energy, eV per formula unit: -34.979
Magnetic moment, μB/atom: 0.000


6.
Here is an optimized crystal structure of Tb4Dy10Th from Alexandria via LeMat-Bulk. Energies are from PBE.

```
Tb4Dy10Th
1.0
9.524 0.000 4.301
4.762 6.856 2.150
1.941 0.000 8.399
Tb Dy Th
4 10 1
Direct
0.335 0.732 0.599
0.933 0.401 0.732
0.067 0.599 0.268
0.665 0.268 0.401
0.250 0.500 0.500
0.547 0.325 0.903
0.128 0.097 0.325
0.550 0.903 0.675
0.775 0.675 0.097
0.453 0.675 0.097
0.750 0.500 0.500
0.225 0.325 0.903
0.450 0.097 0.325
0.872 0.903 0.675
0.000 0.000 0.000
```

Computed properties:
DOS at the Fermi energy, states/eV per atom: 1.642
Mass density, kg/m³: 8427
Energy of formation, meV per atom: 387
Uncorrected energy, eV per formula unit: -66.152
Magnetic moment, μB/atom: 0.018


7.
Here is an optimized crystal structure of Tb6DyTh12 from Alexandria via LeMat-Bulk. Energies are from PBE.

```
Tb6DyTh12
1.0
8.640 -0.251 -1.273
-1.438 8.523 -1.273
-0.218 -0.251 8.730
Tb Dy Th
6 1 12
Direct
0.901 0.339 0.901
0.901 0.901 0.339
0.339 0.901 0.901
0.099 0.099 0.661
0.099 0.661 0.099
0.661 0.099 0.099
0.000 0.000 0.000
0.752 0.248 0.500
0.350 0.083 0.350
0.350 0.350 0.083
0.917 0.650 0.650
0.650 0.650 0.917
0.650 0.917 0.650
0.500 0.752 0.248
0.248 0.500 0.752
0.248 0.752 0.500
0.500 0.248 0.752
0.752 0.500 0.248
0.083 0.350 0.350
```

Computed properties:
DOS at the Fermi energy, states/eV per atom: 1.558
Mass density, kg/m³: 10215
Energy of formation, meV per atom: 248
Uncorrected energy, eV per formula unit: -116.711
Magnetic moment, μB/atom: 0.000


8.
Here is an optimized crystal structure of Tb2DyTh from Alexandria via LeMat-Bulk. Energies are from PBE.

```
Tb2DyTh
1.0
-2.119 1.425 2.487
0.149 -3.034 1.865
8.096 3.431 4.934
Tb Th Dy
2 1 1
Direct
0.000 0.000 0.755
0.000 0.000 0.245
0.500 0.500 0.000
0.500 0.500 0.500
```

Computed properties:
DOS at the Fermi energy, states/eV per atom: 1.179
Mass density, kg/m³: 9235
Energy of formation, meV per atom: 28
Excess energy over the best structure of this formula in the dataset, eV/atom: 0.020
Uncorrected energy, eV per formula unit: -21.170
Magnetic moment, μB/atom: 0.000


9.
Here is an optimized crystal structure of Tb2DyTh3 from Alexandria via LeMat-Bulk. Energies are from PBE.

```
Tb2DyTh3
1.0
3.575 0.000 0.000
0.000 10.003 1.149
0.000 -1.134 10.632
Tb Dy Th
4 2 6
Direct
0.250 0.373 0.417
0.750 0.627 0.583
0.750 0.133 0.914
0.250 0.867 0.086
0.250 0.877 0.748
0.750 0.123 0.252
0.750 0.124 0.584
0.250 0.876 0.416
0.750 0.625 0.249
0.250 0.375 0.751
0.250 0.379 0.083
0.750 0.621 0.917
```

Computed properties:
DOS at the Fermi energy, states/eV per atom: 1.385
Mass density, kg/m³: 10152
Energy of formation, meV per atom: 31
Excess energy over the best structure of this formula in the dataset, eV/atom: 0.000
Uncorrected energy, eV per formula unit: -35.936
Magnetic moment, μB/atom: 0.000


10.
Here is an optimized crystal structure of Tb9DyTh2 from Alexandria via LeMat-Bulk. Energies are from PBE.

```
Tb9DyTh2
1.0
-4.866 0.466 -1.225
0.042 -4.652 -1.938
-3.917 -5.625 13.418
Tb Dy Th
9 1 2
Direct
0.500 0.500 0.000
0.500 0.500 0.333
0.500 0.500 0.667
0.500 0.000 0.168
0.500 0.000 0.500
0.500 0.000 0.832
0.000 0.500 0.168
0.000 0.500 0.500
0.000 0.500 0.832
0.000 0.000 0.000
0.000 0.000 0.334
0.000 0.000 0.666
```

Computed properties:
DOS at the Fermi energy, states/eV per atom: 1.397
Mass density, kg/m³: 8927
Energy of formation, meV per atom: 33
Uncorrected energy, eV per formula unit: -60.718
Magnetic moment, μB/atom: 0.000


11.
Here is an optimized crystal structure of Tb4Dy5Th3 from Alexandria via LeMat-Bulk. Energies are from PBE.

```
Tb4Dy5Th3
1.0
-1.121 -3.248 -4.579
6.455 -6.680 -0.421
-9.205 -3.289 1.009
Tb Dy Th
4 5 3
Direct
0.942 0.275 0.842
0.161 0.879 0.799
0.839 0.121 0.201
0.058 0.725 0.158
0.731 0.934 0.603
0.500 0.500 0.500
0.350 0.247 0.053
0.650 0.753 0.947
0.269 0.066 0.397
0.552 0.630 0.266
0.000 0.500 0.500
0.448 0.370 0.734
```

Computed properties:
DOS at the Fermi energy, states/eV per atom: 1.561
Mass density, kg/m³: 8982
Energy of formation, meV per atom: 360
Uncorrected energy, eV per formula unit: -59.474
Magnetic moment, μB/atom: 0.000


12.
Here is an optimized crystal structure of Tb3Dy7Th2 from Alexandria via LeMat-Bulk. Energies are from PBE.

```
Tb3Dy7Th2
1.0
3.532 0.007 -0.469
-0.059 6.129 -0.356
0.548 -2.005 17.599
Tb Dy Th
3 7 2
Direct
0.500 0.500 0.000
0.833 0.166 0.667
0.167 0.834 0.333
0.249 0.257 0.498
0.751 0.743 0.502
0.416 0.081 0.833
0.000 0.000 0.000
0.584 0.919 0.167
0.084 0.412 0.168
0.916 0.588 0.832
0.333 0.670 0.668
0.667 0.330 0.332
```

Computed properties:
DOS at the Fermi energy, states/eV per atom: 1.343
Mass density, kg/m³: 9082
Energy of formation, meV per atom: 23
Uncorrected energy, eV per formula unit: -60.667
Magnetic moment, μB/atom: 0.000


13.
Here is an optimized crystal structure of Tb6Dy4Th from Alexandria via LeMat-Bulk. Energies are from PBE.

```
Tb6Dy4Th
1.0
5.758 0.000 0.000
-2.879 4.799 0.000
0.000 0.000 25.614
Tb Dy Th
12 8 2
Direct
0.500 0.000 0.000
0.500 0.000 0.500
0.127 0.254 0.318
0.873 0.746 0.682
0.873 0.746 0.818
0.127 0.254 0.182
0.800 0.600 0.398
0.200 0.400 0.602
0.200 0.400 0.898
0.800 0.600 0.102
0.459 0.919 0.250
0.541 0.081 0.750
0.848 0.695 0.542
0.457 0.913 0.122
0.152 0.305 0.458
0.543 0.087 0.878
0.848 0.695 0.958
0.152 0.305 0.042
0.543 0.087 0.622
0.457 0.913 0.378
0.796 0.592 0.250
0.204 0.408 0.750
```

Computed properties:
DOS at the Fermi energy, states/eV per atom: 1.908
Mass density, kg/m³: 8612
Energy of formation, meV per atom: 146
Excess energy over the best structure of this formula in the dataset, eV/atom: 0.000
Uncorrected energy, eV per formula unit: -52.005
Magnetic moment, μB/atom: 0.000


14.
Here is an optimized crystal structure of Tb5Dy6Th2 from Alexandria via LeMat-Bulk. Energies are from PBE.

```
Tb5Dy6Th2
1.0
3.559 0.000 0.000
0.000 11.480 0.000
0.000 0.000 20.693
Tb Dy Th
10 12 4
Direct
0.500 0.310 0.422
0.500 0.690 0.578
0.500 0.810 0.078
0.500 0.190 0.922
0.500 0.569 0.293
0.500 0.431 0.707
0.500 0.069 0.207
0.500 0.931 0.793
0.500 0.500 0.000
0.500 0.000 0.500
0.000 0.065 0.353
0.000 0.935 0.647
0.000 0.565 0.147
0.000 0.435 0.853
0.500 0.315 0.123
0.500 0.685 0.877
0.500 0.815 0.377
0.500 0.185 0.623
0.000 0.579 0.437
0.000 0.421 0.563
0.000 0.079 0.063
0.000 0.921 0.937
0.000 0.313 0.266
0.000 0.687 0.734
0.000 0.813 0.234
0.000 0.187 0.766
```

Computed properties:
DOS at the Fermi energy, states/eV per atom: 1.389
Mass density, kg/m³: 8773
Energy of formation, meV per atom: 110
Uncorrected energy, eV per formula unit: -64.180
Magnetic moment, μB/atom: 0.000


15.
Here is an optimized crystal structure of Tb2Dy8Th from Alexandria via LeMat-Bulk. Energies are from PBE.

```
Tb2Dy8Th
1.0
5.023 0.000 0.000
0.000 7.921 0.519
-2.512 -2.945 8.559
Tb Dy Th
2 8 1
Direct
0.772 0.364 0.544
0.228 0.636 0.456
0.410 0.547 0.819
0.680 0.908 0.361
0.865 0.820 0.730
0.955 0.268 0.910
0.135 0.180 0.270
0.320 0.092 0.639
0.590 0.453 0.181
0.045 0.732 0.090
0.500 0.000 0.000
```

Computed properties:
DOS at the Fermi energy, states/eV per atom: 1.457
Mass density, kg/m³: 8820
Energy of formation, meV per atom: 26
Uncorrected energy, eV per formula unit: -53.212
Magnetic moment, μB/atom: 0.000


16.
Here is an optimized crystal structure of Tb2Dy3Tm6Th from Alexandria via LeMat-Bulk. Energies are from PBE.

```
Tb2Dy3Tm6Th
1.0
6.107 0.001 0.012
-3.052 5.290 0.012
-1.041 -1.803 11.455
Tb Dy Tm Th
2 3 6 1
Direct
0.333 0.667 0.000
0.667 0.333 0.000
0.167 0.833 0.500
0.833 0.167 0.500
0.500 0.500 0.500
0.917 0.586 0.750
0.754 0.754 0.250
0.083 0.414 0.250
0.586 0.917 0.750
0.246 0.246 0.750
0.414 0.083 0.250
0.000 0.000 0.000
```

Computed properties:
DOS at the Fermi energy, states/eV per atom: 1.310
Mass density, kg/m³: 9196
Energy of formation, meV per atom: 25
Uncorrected energy, eV per formula unit: -57.013
Magnetic moment, μB/atom: 0.000


17.
Here is an optimized crystal structure of Tb2DyTm2Th2 from Alexandria via LeMat-Bulk. Energies are from PBE.

```
Tb2DyTm2Th2
1.0
3.420 0.000 0.000
-1.710 5.578 -1.399
0.000 0.540 11.707
Tb Dy Tm Th
2 1 2 2
Direct
0.595 0.190 0.777
0.405 0.810 0.223
0.000 0.000 0.500
0.707 0.413 0.371
0.293 0.587 0.629
0.352 0.704 0.932
0.648 0.296 0.068
```

Computed properties:
DOS at the Fermi energy, states/eV per atom: 1.420
Mass density, kg/m³: 9425
Energy of formation, meV per atom: 162
Uncorrected energy, eV per formula unit: -36.508
Magnetic moment, μB/atom: 0.000


18.
Here is an optimized crystal structure of Tb6Dy3TmTh2 from Alexandria via LeMat-Bulk. Energies are from PBE.

```
Tb6Dy3TmTh2
1.0
-1.178 -3.069 -5.202
-3.777 -0.567 4.826
-4.632 10.181 -3.740
Tb Dy Tm Th
6 3 1 2
Direct
0.917 0.581 0.752
0.747 0.747 0.248
0.083 0.419 0.248
0.581 0.917 0.752
0.253 0.253 0.752
0.419 0.083 0.248
0.167 0.833 0.500
0.833 0.167 0.500
0.500 0.500 0.500
0.000 0.000 0.000
0.333 0.667 0.000
0.667 0.333 0.000
```

Computed properties:
DOS at the Fermi energy, states/eV per atom: 1.371
Mass density, kg/m³: 9038
Energy of formation, meV per atom: 24
Uncorrected energy, eV per formula unit: -60.615
Magnetic moment, μB/atom: 0.000


19.
Here is an optimized crystal structure of Tb2DyTm2Th from Alexandria via LeMat-Bulk. Energies are from PBE.

```
Tb2DyTm2Th
1.0
-1.643 -1.898 -6.276
5.122 -3.896 -0.162
-5.617 -5.998 3.285
Tb Dy Tm Th
4 2 4 2
Direct
0.500 0.181 0.163
0.000 0.181 0.163
0.000 0.819 0.837
0.500 0.819 0.837
0.750 0.319 0.827
0.250 0.681 0.173
0.250 0.069 0.494
0.250 0.573 0.531
0.750 0.931 0.506
0.750 0.427 0.469
0.250 0.314 0.846
0.750 0.686 0.154
```

Computed properties:
DOS at the Fermi energy, states/eV per atom: 1.560
Mass density, kg/m³: 9108
Energy of formation, meV per atom: 177
Uncorrected energy, eV per formula unit: -29.163
Magnetic moment, μB/atom: 0.000